DFT (PBE) results for an optimized crystal structure of CsLi2Ce2O6.

```
CsLi2Ce2O6
1.0
6.234 -0.002 -0.002
3.107 6.392 -0.227
-0.001 -3.887 5.214
Cs Li Ce O
1 2 2 6
Direct
0.500 0.000 0.500
0.155 0.698 0.743
0.845 0.302 0.257
0.829 0.342 0.821
0.171 0.658 0.179
0.428 0.608 0.883
0.020 0.408 0.130
0.064 0.888 0.611
0.980 0.592 0.870
0.936 0.112 0.389
0.572 0.392 0.117
```

Values from the calculation:
E_form (uncorrected) in eV/atom: -2.37
Symmetry: P-1, No. 2
Volume in Å³ per cell: 202.3
N(E_F) in states/eV/f.u.: 6.06
Crystal system: triclinic
Electronic total energy in eV per atom: -6.58
M_tot in μB per formula unit: 0.9


DFT (PBE) results for an optimized crystal structure of CsLiCe2S4.

```
CsLiCe2S4
1.0
4.213 0.000 0.000
-2.106 7.115 0.000
0.000 0.000 14.390
Cs Li Ce S
2 2 4 8
Direct
0.105 0.210 0.750
0.895 0.790 0.250
0.829 0.657 0.750
0.171 0.343 0.250
0.368 0.736 0.558
0.632 0.264 0.058
0.632 0.264 0.442
0.368 0.736 0.942
0.256 0.511 0.104
0.744 0.489 0.604
0.744 0.489 0.896
0.256 0.511 0.396
0.000 0.000 0.500
0.000 0.000 0.000
0.411 0.822 0.750
0.589 0.178 0.250
```

Values from the calculation:
E_form (uncorrected) in eV/atom: -1.77
Symmetry: Cmcm, No. 63
Volume in Å³ per cell: 431.3
N(E_F) in states/eV/f.u.: 12.32
Crystal system: orthorhombic
Electronic total energy in eV per atom: -5.66
M_tot in μB per formula unit: 2.0


DFT (PBE) results for an optimized crystal structure of Cs2Li2CeS4.

```
Cs2Li2CeS4
1.0
4.235 0.000 0.000
0.000 7.974 0.387
-2.118 -2.805 7.073
Cs Li Ce S
2 2 1 4
Direct
0.140 0.566 0.281
0.860 0.434 0.719
0.680 0.987 0.360
0.320 0.013 0.640
0.000 0.000 0.000
0.189 0.143 0.379
0.811 0.857 0.621
0.518 0.787 0.035
0.482 0.213 0.965
```

Values from the calculation:
E_form (uncorrected) in eV/atom: -1.51
Symmetry: C2/m, No. 12
Volume in Å³ per cell: 243.5
Crystal system: monoclinic
Electronic total energy in eV per atom: -4.62
M_tot in μB per formula unit: 0.0


DFT (PBE) results for an optimized crystal structure of CsLiCeS3.

```
CsLiCeS3
1.0
4.208 0.000 0.000
0.000 9.273 -0.398
0.000 -2.849 9.225
Cs Li Ce S
2 2 2 6
Direct
0.250 0.214 0.259
0.750 0.786 0.741
0.250 0.080 0.596
0.750 0.920 0.404
0.250 0.680 0.156
0.750 0.320 0.844
0.750 0.861 0.137
0.250 0.139 0.863
0.250 0.808 0.445
0.750 0.192 0.555
0.750 0.478 0.147
0.250 0.522 0.853
```

Values from the calculation:
E_form (uncorrected) in eV/atom: -1.60
Symmetry: P2_1/m, No. 11
Volume in Å³ per cell: 355.2
Crystal system: monoclinic
Electronic total energy in eV per atom: -5.11
M_tot in μB per formula unit: 0.0


What is the formula in the fourth record? CsLiCeS3